Record 1
Entry from the Alexandria database: a relaxed structure of CeSmRu2 (PBE-GGA). Values from VASP.

Quantum ESPRESSO input file:
```
&SYSTEM
  ibrav = 0, nat = 4, ntyp = 3
/
ATOMIC_SPECIES
Ru 101.07 Ru.upf
Ce 140.12 Ce.upf
Sm 150.36 Sm.upf
ATOMIC_POSITIONS crystal
Ru 0.000 0.000 0.773
Ru 0.000 0.000 0.227
Ce 0.500 0.500 0.000
Sm 0.500 0.500 0.500
CELL_PARAMETERS angstrom
3.452 0.000 0.000
0.000 3.452 0.000
0.000 0.000 6.967
```

Values from the calculation:
Symmetry: No. 123
Calculated volume: 20.8 A^3/atom
Energy of formation from the pure elements: -1.21 eV/f.u.
N(E_F): 1.66 states/eV/cell



Record 2
Entry from the Alexandria database: a relaxed structure of MgSbCl2 (PBE-GGA). Values from VASP.

Quantum ESPRESSO input file:
```
&SYSTEM
  ibrav = 0, nat = 8, ntyp = 3
/
ATOMIC_SPECIES
Sb 121.76 Sb.upf
Mg 24.30 Mg.upf
Cl 35.45 Cl.upf
ATOMIC_POSITIONS crystal
Sb 0.000 0.000 0.000
Sb 0.750 0.250 0.500
Mg 0.500 0.500 0.000
Mg 0.250 0.750 0.500
Cl 0.484 0.125 0.250
Cl 0.266 0.625 0.250
Cl 0.375 0.516 0.750
Cl 0.875 0.734 0.750
CELL_PARAMETERS angstrom
7.304 0.000 0.000
0.000 7.304 0.000
3.652 3.652 4.846
```

Values from the calculation:
Symmetry: No. 122
Offset from the most stable computed form: 526 meV/atom
Uncorrected formation energy: -58 kJ per mole of atoms
Calculated volume: 32.3 A^3/atom
N(E_F): 3.57 states/eV/cell



Record 3
Entry from the Alexandria database: a relaxed structure of Cs2ZnFe (PBE-GGA). Values from VASP.

Quantum ESPRESSO input file:
```
&SYSTEM
  ibrav = 0, nat = 8, ntyp = 3
/
ATOMIC_SPECIES
Cs 132.91 Cs.upf
Zn 65.41 Zn.upf
Fe 55.84 Fe.upf
ATOMIC_POSITIONS crystal
Cs 0.622 0.125 0.997
Cs 0.128 0.625 0.003
Cs 0.875 0.872 0.497
Cs 0.375 0.378 0.503
Zn 0.750 0.250 0.500
Zn 0.000 0.000 0.000
Fe 0.250 0.750 0.500
Fe 0.500 0.500 0.000
CELL_PARAMETERS angstrom
-3.082 3.082 11.762
3.082 -3.082 11.762
3.082 3.082 -11.762
```

Values from the calculation:
Symmetry: No. 122
Offset from the most stable computed form: 213 meV/atom
Calculated volume: 55.9 A^3/atom
Energy of formation from the pure elements: 4.36 eV/f.u.
N(E_F): 9.52 states/eV/cell



Record 4
Entry from the Alexandria database: a relaxed structure of Li4PdAu3 (PBE-GGA). Values from VASP.

Quantum ESPRESSO input file:
```
&SYSTEM
  ibrav = 0, nat = 8, ntyp = 3
/
ATOMIC_SPECIES
Li 6.94 Li.upf
Pd 106.42 Pd.upf
Au 196.97 Au.upf
ATOMIC_POSITIONS crystal
Li 0.385 0.615 0.769
Li 0.615 0.385 0.231
Li 0.750 0.750 0.499
Li 0.250 0.250 0.501
Pd 0.500 0.000 0.000
Au 0.000 0.500 0.000
Au 0.135 0.864 0.271
Au 0.865 0.136 0.729
CELL_PARAMETERS angstrom
-0.557 3.352 -2.091
-0.953 -2.164 -3.215
-7.811 -2.656 1.630
```

Values from the calculation:
Symmetry: No. 71
Offset from the most stable computed form: 61 meV/atom
Calculated volume: 15.8 A^3/atom
Energy of formation from the pure elements: -3.60 eV/f.u.
N(E_F): 1.75 states/eV/cell



Record 5
Entry from the Alexandria database: a relaxed structure of AsPW2 (PBE-GGA). Values from VASP.

Quantum ESPRESSO input file:
```
&SYSTEM
  ibrav = 0, nat = 4, ntyp = 3
/
ATOMIC_SPECIES
As 74.92 As.upf
P 30.97 P.upf
W 183.84 W.upf
ATOMIC_POSITIONS crystal
As 0.500 0.500 0.250
P 0.500 0.500 0.750
W 0.000 0.000 0.978
W 0.000 0.000 0.522
CELL_PARAMETERS angstrom
-0.851 -2.887 -0.615
2.732 -0.529 -1.300
2.254 -1.833 5.483
```

Values from the calculation:
Symmetry: No. 123
Offset from the most stable computed form: 183 meV/atom
Calculated volume: 14.6 A^3/atom
Energy of formation from the pure elements: 0.32 eV/f.u.
N(E_F): 2.15 states/eV/cell



Record 6
Entry from the Alexandria database: a relaxed structure of Fe2HgRh2 (PBE-GGA). Values from VASP.

Quantum ESPRESSO input file:
```
&SYSTEM
  ibrav = 0, nat = 10, ntyp = 3
/
ATOMIC_SPECIES
Rh 102.91 Rh.upf
Hg 200.59 Hg.upf
Fe 55.84 Fe.upf
ATOMIC_POSITIONS crystal
Rh 0.152 0.652 0.500
Rh 0.652 0.848 0.500
Rh 0.848 0.348 0.500
Rh 0.348 0.152 0.500
Hg 0.000 0.000 0.000
Hg 0.500 0.500 0.000
Fe 0.361 0.861 0.000
Fe 0.861 0.639 0.000
Fe 0.639 0.139 0.000
Fe 0.139 0.361 0.000
CELL_PARAMETERS angstrom
7.309 0.000 0.000
0.000 7.309 0.000
0.000 0.000 2.869
```

Values from the calculation:
Symmetry: No. 127
Offset from the most stable computed form: 28 meV/atom
Calculated volume: 15.3 A^3/atom
Energy of formation from the pure elements: 0.84 eV/f.u.
N(E_F): 9.05 states/eV/cell



Record 7
Entry from the Alexandria database: a relaxed structure of TmZrCdRu (PBE-GGA). Values from VASP.

Quantum ESPRESSO input file:
```
&SYSTEM
  ibrav = 0, nat = 4, ntyp = 4
/
ATOMIC_SPECIES
Tm 168.93 Tm.upf
Zr 91.22 Zr.upf
Cd 112.41 Cd.upf
Ru 101.07 Ru.upf
ATOMIC_POSITIONS crystal
Tm 0.500 0.500 0.352
Zr 0.500 0.500 0.786
Cd 0.000 0.000 0.059
Ru 0.000 0.000 0.588
CELL_PARAMETERS angstrom
3.329 0.000 0.000
0.000 3.329 0.000
0.000 0.000 7.598
```

Values from the calculation:
Symmetry: No. 99
Offset from the most stable computed form: 0 meV/atom
Calculated volume: 21.1 A^3/atom
Energy of formation from the pure elements: -1.60 eV/f.u.
N(E_F): 2.73 states/eV/cell



Record 8
Entry from the Alexandria database: a relaxed structure of Gd2HoAg (PBE-GGA). Values from VASP.

Quantum ESPRESSO input file:
```
&SYSTEM
  ibrav = 0, nat = 4, ntyp = 3
/
ATOMIC_SPECIES
Gd 157.25 Gd.upf
Ho 164.93 Ho.upf
Ag 107.87 Ag.upf
ATOMIC_POSITIONS crystal
Gd 0.250 0.250 0.250
Gd 0.750 0.750 0.750
Ho 0.000 0.000 0.000
Ag 0.500 0.500 0.500
CELL_PARAMETERS angstrom
-4.331 1.412 -2.884
-4.944 -1.092 1.851
-3.186 4.002 1.704
```

Values from the calculation:
Symmetry: No. 225
Offset from the most stable computed form: 169 meV/atom
Calculated volume: 27.7 A^3/atom
Energy of formation from the pure elements: 0.20 eV/f.u.
N(E_F): 4.35 states/eV/cell



Record 9
Entry from the Alexandria database: a relaxed structure of Tb2NdDy5 (PBE-GGA). Values from VASP.

Quantum ESPRESSO input file:
```
&SYSTEM
  ibrav = 0, nat = 16, ntyp = 3
/
ATOMIC_SPECIES
Tb 158.93 Tb.upf
Nd 144.24 Nd.upf
Dy 162.50 Dy.upf
ATOMIC_POSITIONS crystal
Tb 0.500 0.251 0.626
Tb 0.500 0.749 0.374
Tb 0.500 0.249 0.126
Tb 0.500 0.751 0.874
Nd 0.000 0.000 0.500
Nd 0.000 0.500 0.000
Dy 0.000 0.000 0.000
Dy 0.000 0.500 0.500
Dy 0.000 0.500 0.749
Dy 0.000 0.500 0.251
Dy 0.000 0.000 0.249
Dy 0.000 0.000 0.751
Dy 0.500 0.249 0.874
Dy 0.500 0.751 0.126
Dy 0.500 0.251 0.374
Dy 0.500 0.749 0.626
CELL_PARAMETERS angstrom
5.029 0.000 0.000
0.000 7.134 0.000
0.000 0.000 14.271
```

Values from the calculation:
Symmetry: No. 55
Calculated volume: 32.0 A^3/atom
Energy of formation from the pure elements: 0.12 eV/f.u.
N(E_F): 19.58 states/eV/cell



Record 10
Entry from the Alexandria database: a relaxed structure of Li2ZnAs (PBE-GGA). Values from VASP.

Quantum ESPRESSO input file:
```
&SYSTEM
  ibrav = 0, nat = 4, ntyp = 3
/
ATOMIC_SPECIES
As 74.92 As.upf
Li 6.94 Li.upf
Zn 65.41 Zn.upf
ATOMIC_POSITIONS crystal
As 0.301 0.301 0.125
Li 0.036 0.036 0.125
Li 0.711 0.711 0.625
Zn 0.452 0.452 0.625
CELL_PARAMETERS angstrom
5.335 0.243 -0.309
4.405 3.020 -0.309
0.243 0.081 4.265
```

Values from the calculation:
Symmetry: No. 38
Offset from the most stable computed form: 28 meV/atom
Calculated volume: 16.1 A^3/atom
Energy of formation from the pure elements: -1.48 eV/f.u.
N(E_F): 0.51 states/eV/cell



Record 11
Entry from the Alexandria database: a relaxed structure of Li3Dy2ZnNi12 (PBE-GGA). Values from VASP.

Quantum ESPRESSO input file:
```
&SYSTEM
  ibrav = 0, nat = 18, ntyp = 4
/
ATOMIC_SPECIES
Li 6.94 Li.upf
Dy 162.50 Dy.upf
Zn 65.41 Zn.upf
Ni 58.69 Ni.upf
ATOMIC_POSITIONS crystal
Li 0.500 0.000 0.000
Li 0.000 0.500 0.000
Li 0.000 0.000 0.500
Dy 0.610 0.610 0.610
Dy 0.390 0.390 0.390
Zn 0.000 0.000 0.000
Ni 0.370 0.370 0.880
Ni 0.857 0.857 0.399
Ni 0.399 0.857 0.857
Ni 0.880 0.370 0.370
Ni 0.857 0.399 0.857
Ni 0.370 0.880 0.370
Ni 0.630 0.630 0.120
Ni 0.143 0.143 0.601
Ni 0.601 0.143 0.143
Ni 0.120 0.630 0.630
Ni 0.143 0.601 0.143
Ni 0.630 0.120 0.630
CELL_PARAMETERS angstrom
7.218 -0.019 -0.014
3.548 6.286 -0.014
3.548 2.065 5.937
```

Values from the calculation:
Symmetry: No. 166
Calculated volume: 15.0 A^3/atom
Energy of formation from the pure elements: 8.12 eV/f.u.
N(E_F): 19.49 states/eV/cell



Record 12
Entry from the Alexandria database: a relaxed structure of KBeGa2 (PBE-GGA). Values from VASP.

Quantum ESPRESSO input file:
```
&SYSTEM
  ibrav = 0, nat = 8, ntyp = 3
/
ATOMIC_SPECIES
Be 9.01 Be.upf
K 39.10 K.upf
Ga 69.72 Ga.upf
ATOMIC_POSITIONS crystal
Be 0.500 0.500 0.000
Be 0.250 0.750 0.500
K 0.000 0.000 0.000
K 0.750 0.250 0.500
Ga 0.375 0.125 0.250
Ga 0.375 0.625 0.250
Ga 0.375 0.625 0.750
Ga 0.875 0.625 0.750
CELL_PARAMETERS angstrom
-5.138 -1.569 1.241
1.407 -5.266 -0.835
-0.025 -4.015 7.071
```

Values from the calculation:
Symmetry: No. 141
Calculated volume: 27.1 A^3/atom
Energy of formation from the pure elements: 0.96 eV/f.u.
N(E_F): 3.25 states/eV/cell



Q: N(E_F) of number 4 (Li4PdAu3)?
A: 1.75 states/eV/cell



Q: Which of these has the highest N(E_F)?
A: Tb2NdDy5